# MoPt2Au GGA-PBE relaxed
# - D(E_F) (states/eV per cell) = 6.0
# - spin magnetization (μB per formula unit) = 0.00
# - E above lowest polymorph (eV/atom) = 0.209
# - E_form (kJ/mol of atoms) = -2
# - final energy (eV per atom) = -6.57
data_MoPt2Au
_symmetry_space_group_name_H-M 'I -4 m 2'
_symmetry_Int_Tables_number 119
_symmetry_space_group_name_Hall 'I -4 -2'
_cell_length_a 3.940
_cell_length_b 3.940
_cell_length_c 8.259
_cell_angle_alpha 90.00
_cell_angle_beta 90.00
_cell_angle_gamma 90.00
loop_
_atom_site_label
_atom_site_type_symbol
_atom_site_fract_x
_atom_site_fract_y
_atom_site_fract_z
Mo1 Mo 0.000 0.000 0.000
Pt1 Pt 0.000 0.000 0.500
Pt2 Pt 0.000 0.500 0.250
Au1 Au 0.000 0.500 0.750